(1)
## TaFeW (PBE)

Data for TaFeW after structural relaxation.

Cell: 6.837 6.671 2.725 Å, 81.81 74.96 23.24°
Site moments in Bohr magnetons follow the coordinates.
Sites, in units of the cell vectors:
W (0.658, 0.658, 0.342)  -0.07
Ta (0.340, 0.340, 0.660)  -0.06
Fe (0.002, 0.002, 0.998)  2.07

Results
raw total energy: -11.055 eV per atom
ΔH_f (0 K): 0.035 eV/atom
symmetry: Fmm2
energy above the most stable polymorph in this dataset: 50 meV/atom

***

(2)
## TaFe2W (PBE)

Data for TaFe2W after structural relaxation.

Cell: 5.262 4.929 2.694 Å, 80.82 77.70 118.40°
Site moments in Bohr magnetons follow the coordinates.
Sites, in units of the cell vectors:
W (0.500, 0.500, 0.000)  -0.14
Ta (0.000, 0.500, 0.500)  -0.21
Fe (0.500, 0.000, 0.500)  1.94
Fe (0.000, 0.000, 0.000)  1.94

Results
raw total energy: -10.350 eV per atom
ΔH_f (0 K): 0.083 eV/atom
symmetry: C2/m

***

(3)
## TaFeW (PBE)

Data for TaFeW after structural relaxation.

Cell: 4.146 4.146 4.146 Å, 60.00 60.00 60.00°
Sites, in units of the cell vectors:
Ta (0.000, 0.000, 0.000)
W (0.500, 0.500, 0.500)
Fe (0.750, 0.750, 0.750)

Results
raw total energy: -10.629 eV per atom
ΔH_f (0 K): 0.460 eV/atom
symmetry: F-43m
energy above the most stable polymorph in this dataset: 476 meV/atom

***

(4)
## Ta3FeW (PBE)

Data for Ta3FeW after structural relaxation.

Cell: 4.811 4.811 4.811 Å, 90.00 90.00 90.00°
Sites, in units of the cell vectors:
W (0.000, 0.000, 0.000)
Ta (0.000, 0.000, 0.500)
Ta (0.000, 0.500, 0.000)
Ta (0.500, 0.000, 0.000)
Fe (0.500, 0.500, 0.500)

Results
raw total energy: -9.345 eV per atom
ΔH_f (0 K): 2.049 eV/atom
symmetry: Pm-3m
energy above the most stable polymorph in this dataset: 1080 meV/atom

***

(5)
## Ta3FeW2 (PBE)

Data for Ta3FeW2 after structural relaxation.

Cell: 3.200 3.200 9.539 Å, 90.00 90.00 90.00°
Site moments in Bohr magnetons follow the coordinates.
Sites, in units of the cell vectors:
Ta (0.000, 0.000, 0.000)  -0.02
Ta (0.000, 0.000, 0.658)  -0.13
Ta (0.000, 0.000, 0.342)  -0.13
W (0.500, 0.500, 0.173)  -0.01
W (0.500, 0.500, 0.827)  -0.01
Fe (0.500, 0.500, 0.500)  1.00

Results
raw total energy: -11.758 eV per atom
ΔH_f (0 K): -0.104 eV/atom
symmetry: P4/mmm

***

(6)
## TaFeW2 (PBE)

Data for TaFeW2 after structural relaxation.

Cell: 5.197 5.197 4.439 Å, 64.70 64.70 35.49°
Site moments in Bohr magnetons follow the coordinates.
Sites, in units of the cell vectors:
Ta (0.250, 0.250, 0.250)  -0.08
Fe (0.750, 0.750, 0.750)  1.79
W (0.496, 0.496, 0.505)  0.01
W (0.004, 0.004, 0.995)  0.01

Results
raw total energy: -11.494 eV per atom
ΔH_f (0 K): 0.061 eV/atom
symmetry: Immm
energy above the most stable polymorph in this dataset: 51 meV/atom

***

(7)
## TaFe4W (PBE)

Data for TaFe4W after structural relaxation.

Cell: 4.738 4.738 7.809 Å, 90.00 90.00 120.00°
Site moments in Bohr magnetons follow the coordinates.
Sites, in units of the cell vectors:
Fe (0.339, 0.170, 0.249)  1.26
Fe (0.830, 0.661, 0.249)  1.26
Fe (0.830, 0.170, 0.249)  1.26
Fe (0.170, 0.339, 0.751)  1.26
Fe (0.661, 0.830, 0.751)  1.26
Fe (0.000, 0.000, 0.000)  -1.64
Fe (0.000, 0.000, 0.500)  1.13
Fe (0.170, 0.830, 0.751)  1.26
W (0.667, 0.333, 0.942)  -0.03
W (0.333, 0.667, 0.058)  -0.03
Ta (0.667, 0.333, 0.573)  -0.17
Ta (0.333, 0.667, 0.427)  -0.17

Results
raw total energy: -9.889 eV per atom
ΔH_f (0 K): -0.113 eV/atom
symmetry: P-3m1
energy above the most stable polymorph in this dataset: 0 meV/atom

***

(8)
## TaFeW2 (PBE)

Data for TaFeW2 after structural relaxation.

Cell: 2.740 2.740 8.700 Å, 90.00 90.00 108.25°
Site moments in Bohr magnetons follow the coordinates.
Sites, in units of the cell vectors:
W (0.000, 0.000, 0.005)  0.00
W (0.500, 0.500, 0.264)  -0.07
Fe (0.000, 0.000, 0.495)  1.96
Ta (0.500, 0.500, 0.736)  -0.09

Results
raw total energy: -11.534 eV per atom
ΔH_f (0 K): 0.021 eV/atom
symmetry: Cmm2
energy above the most stable polymorph in this dataset: 11 meV/atom

***

(9)
## TaFe2W (PBE)

Data for TaFe2W after structural relaxation.

Cell: 3.075 4.271 4.271 Å, 90.00 90.00 90.00°
Site moments in Bohr magnetons follow the coordinates.
Sites, in units of the cell vectors:
W (0.500, 0.000, 0.500)  0.02
Ta (0.500, 0.500, 0.000)  -0.20
Fe (0.000, 0.500, 0.500)  1.48
Fe (0.000, 0.000, 0.000)  1.48

Results
raw total energy: -10.409 eV per atom
ΔH_f (0 K): 0.024 eV/atom
symmetry: P4/mmm

***

(10)
## TaFeW2 (PBE)

Data for TaFeW2 after structural relaxation.

Cell: 3.190 3.190 6.104 Å, 90.00 90.00 90.00°
Site moments in Bohr magnetons follow the coordinates.
Sites, in units of the cell vectors:
Fe (0.500, 0.500, 0.250)  1.99
W (0.000, 0.000, 0.485)  -0.07
W (0.000, 0.000, 0.015)  -0.07
Ta (0.500, 0.500, 0.750)  0.01

Results
raw total energy: -11.450 eV per atom
ΔH_f (0 K): 0.106 eV/atom
symmetry: P4/mmm
energy above the most stable polymorph in this dataset: 95 meV/atom

***

(11)
## TaFeW (PBE)

Data for TaFeW after structural relaxation.

Cell: 4.465 4.465 2.678 Å, 90.00 90.00 120.00°
Site moments in Bohr magnetons follow the coordinates.
Sites, in units of the cell vectors:
W (0.667, 0.333, 0.694)  -0.01
Ta (0.333, 0.667, 0.314)  -0.07
Fe (0.000, 0.000, 0.992)  2.06

Results
raw total energy: -10.925 eV per atom
ΔH_f (0 K): 0.165 eV/atom
symmetry: P3m1
energy above the most stable polymorph in this dataset: 181 meV/atom

***

(12)
## TaFeW (PBE)

Data for TaFeW after structural relaxation.

Cell: 5.130 5.130 5.130 Å, 144.23 144.23 51.49°
Site moments in Bohr magnetons follow the coordinates.
Sites, in units of the cell vectors:
Fe (0.003, 0.003, 0.000)  1.74
Ta (0.339, 0.339, 0.000)  -0.12
W (0.658, 0.658, 0.000)  -0.07

Results
raw total energy: -11.014 eV per atom
ΔH_f (0 K): 0.076 eV/atom
symmetry: I4mm
energy above the most stable polymorph in this dataset: 92 meV/atom